Entry 1:
The following is a SCAN calculation of HfGeSbCl2 at its PBEsol-relaxed geometry, from Alexandria via LeMat-Bulk.

Cell lengths 4.736, 4.736, 5.632 Å; angles 90.00, 90.00, 90.00 degrees
Space group P4/mmm (No. 123)
Symmetry-distinct sites (fractional):
Hf 0.000 0.000 0.000 x1
Ge 0.000 0.000 0.500 x1
Sb 0.500 0.500 0.500 x1
Cl 0.000 0.500 0.000 x2

## Properties
Formation energy from raw total energies = -0.407 eV per atom

Entry 2:
The following is a SCAN calculation of ZrZnNi6 at its PBEsol-relaxed geometry, from Alexandria via LeMat-Bulk.

Cell lengths 7.167, 10.246, 10.238 Å; angles 90.00, 90.00, 90.00 degrees
Space group Cmmm (No. 65)
Symmetry-distinct sites (fractional):
Zr 0.000 0.000 0.245 x4
Zr 0.000 0.244 0.500 x4
Zn 0.000 0.241 0.000 x4
Zn 0.000 0.500 0.245 x4
Ni 0.000 0.000 0.000 x2
Ni 0.000 0.000 0.500 x2
Ni 0.000 0.252 0.243 x8
Ni 0.000 0.500 0.000 x2
Ni 0.000 0.500 0.500 x2
Ni 0.241 0.372 0.120 x16
Ni 0.242 0.377 0.370 x16

## Properties
Formation energy from the elements = -2.00 eV per formula unit

Entry 3:
The following is a SCAN calculation of SrTeP2Au at its PBEsol-relaxed geometry, from Alexandria via LeMat-Bulk.

Cell lengths 4.826, 4.826, 5.573 Å; angles 90.00, 90.00, 90.00 degrees
Space group P4/mmm (No. 123)
Symmetry-distinct sites (fractional):
Sr 0.000 0.000 0.000 x1
Te 0.500 0.500 0.000 x1
P 0.000 0.500 0.500 x2
Au 0.500 0.500 0.500 x1

## Properties
Formation energy from raw total energies = -0.031 eV per atom

Entry 4:
The following is a SCAN calculation of LaTc3Hg at its PBEsol-relaxed geometry, from Alexandria via LeMat-Bulk.

Cell lengths 4.927, 4.927, 4.927 Å; angles 90.00, 90.00, 90.00 degrees
Space group Pm-3m (No. 221)
Symmetry-distinct sites (fractional):
La 0.000 0.000 0.000 x1
Tc 0.000 0.500 0.500 x3
Hg 0.500 0.500 0.500 x1

## Properties
Formation energy from the elements = 8.71 eV per formula unit

Entry 5:
The following is a SCAN calculation of MnCu2Pt at its PBEsol-relaxed geometry, from Alexandria via LeMat-Bulk.

Cell lengths 3.710, 3.710, 7.422 Å; angles 90.00, 90.00, 90.00 degrees
Space group I-4m2 (No. 119)
Symmetry-distinct sites (fractional):
Mn 0.000 0.000 0.000 x2
Cu 0.000 0.000 0.500 x2
Cu 0.000 0.500 0.250 x2
Pt 0.000 0.500 0.750 x2

## Properties
Formation energy from the elements = -1.55 eV per formula unit

Entry 6:
The following is a SCAN calculation of HgGeTe2I at its PBEsol-relaxed geometry, from Alexandria via LeMat-Bulk.

Cell lengths 5.538, 5.538, 5.579 Å; angles 90.00, 90.00, 90.00 degrees
Space group P4/mmm (No. 123)
Symmetry-distinct sites (fractional):
Hg 0.000 0.000 0.000 x1
Ge 0.500 0.500 0.500 x1
Te 0.000 0.500 0.000 x2
I 0.000 0.000 0.500 x1

## Properties
Formation energy from raw total energies = 0.699 eV per atom

Computed electronic total energy (eV/atom) in order:
-27.402 -17.906 -29.927 -41.548 -30.100 -39.001